# PBE-GGA Pm3Zn4Si4, relaxed
data_Pm3Zn4Si4
_symmetry_space_group_name_H-M 'P 1'
_symmetry_Int_Tables_number 1
_symmetry_space_group_name_Hall 'P 1'
_cell_length_a 4.1550
_cell_length_b 4.1562
_cell_length_c 12.7188
_cell_angle_alpha 80.57
_cell_angle_beta 80.58
_cell_angle_gamma 89.97
loop_
_atom_site_label
_atom_site_type_symbol
_atom_site_fract_x
_atom_site_fract_y
_atom_site_fract_z
Pm1 Pm 0.1446 0.6451 0.7107
Pm2 Pm 0.8554 0.3550 0.2893
Pm3 Pm 0.0000 0.0000 0.0000
Zn1 Zn 0.5949 0.0945 0.8111
Zn2 Zn 0.2499 0.2499 0.5004
Zn3 Zn 0.7501 0.7501 0.4996
Zn4 Zn 0.4051 0.9055 0.1889
Si1 Si 0.5477 0.5476 0.9048
Si2 Si 0.4523 0.4524 0.0951
Si3 Si 0.3091 0.8096 0.3812
Si4 Si 0.6909 0.1905 0.6188
# - E (eV per formula unit) = -47.28
# - energy relative to the elements, uncorrected (eV per atom) = -0.567

---

# PBE-GGA KSc2F7, relaxed
data_KSc2F7
_symmetry_space_group_name_H-M 'P 1'
_symmetry_Int_Tables_number 1
_symmetry_space_group_name_Hall 'P 1'
_cell_length_a 6.3155
_cell_length_b 6.3155
_cell_length_c 4.0847
_cell_angle_alpha 90.00
_cell_angle_beta 90.00
_cell_angle_gamma 117.08
loop_
_atom_site_label
_atom_site_type_symbol
_atom_site_fract_x
_atom_site_fract_y
_atom_site_fract_z
K1 K 0.0000 0.0000 0.0000
Sc1 Sc 0.3073 0.6927 0.5000
Sc2 Sc 0.6927 0.3073 0.5000
F1 F 0.5000 0.5000 0.5000
F2 F 0.3344 0.0440 0.5000
F3 F 0.6656 0.9560 0.5000
F4 F 0.2992 0.7008 0.0000
F5 F 0.7008 0.2992 0.0000
F6 F 0.9560 0.6656 0.5000
F7 F 0.0440 0.3344 0.5000
# - E (eV per formula unit) = -64.51
# - energy relative to the elements, uncorrected (eV per atom) = -3.765

---

# PBE-GGA Ac3DyCu2O9, relaxed
data_Ac3DyCu2O9
_symmetry_space_group_name_H-M 'P 1'
_symmetry_Int_Tables_number 1
_symmetry_space_group_name_Hall 'P 1'
_cell_length_a 5.7202
_cell_length_b 5.7202
_cell_length_c 7.1933
_cell_angle_alpha 90.00
_cell_angle_beta 90.00
_cell_angle_gamma 120.00
loop_
_atom_site_label
_atom_site_type_symbol
_atom_site_fract_x
_atom_site_fract_y
_atom_site_fract_z
Ac1 Ac 0.3333 0.6667 0.7037
Ac2 Ac 0.0000 0.0000 0.0000
Ac3 Ac 0.6667 0.3333 0.2963
Dy1 Dy 0.0000 0.0000 0.5000
Cu1 Cu 0.3333 0.6667 0.1617
Cu2 Cu 0.6667 0.3333 0.8383
O1 O 0.8294 0.1706 0.6881
O2 O 0.8294 0.6587 0.6881
O3 O 0.3413 0.1706 0.6881
O4 O 0.6587 0.8294 0.3119
O5 O 0.1706 0.3413 0.3119
O6 O 0.1706 0.8294 0.3119
O7 O 0.5000 0.0000 0.0000
O8 O 0.0000 0.5000 0.0000
O9 O 0.5000 0.5000 0.0000
# - E (eV per formula unit) = -105.22
# - energy relative to the elements, uncorrected (eV per atom) = -2.365

---

# PBE-GGA HoTiGa2, relaxed
data_HoTiGa2
_symmetry_space_group_name_H-M 'P 1'
_symmetry_Int_Tables_number 1
_symmetry_space_group_name_Hall 'P 1'
_cell_length_a 3.4529
_cell_length_b 3.4529
_cell_length_c 6.4229
_cell_angle_alpha 90.00
_cell_angle_beta 90.00
_cell_angle_gamma 90.00
loop_
_atom_site_label
_atom_site_type_symbol
_atom_site_fract_x
_atom_site_fract_y
_atom_site_fract_z
Ho1 Ho 0.5000 0.5000 0.5000
Ga1 Ga 0.0000 0.0000 0.7894
Ga2 Ga 0.0000 0.0000 0.2106
Ti1 Ti 0.5000 0.5000 0.0000
# - E (eV per formula unit) = -20.25
# - ΔH_f (0 K) (eV per atom) = -0.432

---

# PBE-GGA ZnInGeAs3, relaxed
data_ZnInGeAs3
_symmetry_space_group_name_H-M 'P 1'
_symmetry_Int_Tables_number 1
_symmetry_space_group_name_Hall 'P 1'
_cell_length_a 7.1907
_cell_length_b 7.1907
_cell_length_c 5.8914
_cell_angle_alpha 65.93
_cell_angle_beta 65.93
_cell_angle_gamma 33.65
loop_
_atom_site_label
_atom_site_type_symbol
_atom_site_fract_x
_atom_site_fract_y
_atom_site_fract_z
Zn1 Zn 0.0019 0.0019 0.9845
In1 In 0.3339 0.3339 0.6681
Ge1 Ge 0.6643 0.6643 0.3474
As1 As 0.5083 0.5083 0.7566
As2 As 0.8351 0.8351 0.3879
As3 As 0.1565 0.1565 0.1055
# - E (eV per formula unit) = -23.59
# - ΔH_f (0 K) (eV per atom) = -0.169

---

# PBE-GGA LiHg2Ge2, relaxed
data_LiHg2Ge2
_symmetry_space_group_name_H-M 'P 1'
_symmetry_Int_Tables_number 1
_symmetry_space_group_name_Hall 'P 1'
_cell_length_a 4.6208
_cell_length_b 4.6208
_cell_length_c 6.5069
_cell_angle_alpha 69.20
_cell_angle_beta 69.20
_cell_angle_gamma 90.00
loop_
_atom_site_label
_atom_site_type_symbol
_atom_site_fract_x
_atom_site_fract_y
_atom_site_fract_z
Ge1 Ge 0.3919 0.3919 0.2161
Ge2 Ge 0.6081 0.6081 0.7839
Hg1 Hg 0.7500 0.2500 0.5000
Hg2 Hg 0.2500 0.7500 0.5000
Li1 Li 0.0000 0.0000 0.0000
# - E (eV per formula unit) = -11.23
# - ΔH_f (0 K) (eV per atom) = 0.105